[1]
GaAs3Pb: relaxed, PBE-GGA.

Formation energy from the elements: 0.454 eV/atom
Electronic total energy: -3.683 eV/atom
Energy relative to the lowest polymorph listed for this composition: 0.0 kJ per mole of atoms

CIF file:
```
data_GaAs3Pb
_cell_length_a 4.992
_cell_length_b 4.992
_cell_length_c 4.992
_cell_angle_alpha 90.00
_cell_angle_beta 90.00
_cell_angle_gamma 90.00
_space_group_name_H-M_alt 'P m -3 m'
_space_group_IT_number 221
_space_group_name_Hall '-P 4 2 3'
loop_
_atom_site_label
_atom_site_fract_x
_atom_site_fract_y
_atom_site_fract_z
Ga1 0.000 0.000 0.000
As1 0.000 0.000 0.500
Pb1 0.500 0.500 0.500
```


[2]
As2PW: relaxed, PBE-GGA.

Formation energy from the elements: 0.529 eV/atom
Electronic total energy: -6.387 eV/atom

CIF file:
```
data_As2PW
_cell_length_a 5.176
_cell_length_b 7.946
_cell_length_c 3.811
_cell_angle_alpha 90.00
_cell_angle_beta 118.90
_cell_angle_gamma 90.00
_space_group_name_H-M_alt 'C 1 2/m 1'
_space_group_IT_number 12
loop_
_space_group_symop_operation_xyz
'x,y,z'
'-x,-y,-z'
'-x,y,-z'
'x,-y,z'
'x+1/2,y+1/2,z'
'-x+1/2,-y+1/2,-z'
'-x+1/2,y+1/2,-z'
'x+1/2,-y+1/2,z'
loop_
_atom_site_label
_atom_site_fract_x
_atom_site_fract_y
_atom_site_fract_z
As1 0.250 0.250 0.000
P1 0.000 0.000 0.500
W1 0.000 0.500 0.500
```


[3]
Nd2Al2Zn15: relaxed, PBE-GGA.

Formation energy from the elements: -0.250 eV/atom
Electronic total energy: -2.151 eV/atom

CIF file:
```
data_Nd2Al2Zn15
_cell_length_a 9.0970
_cell_length_b 9.0970
_cell_length_c 13.2140
_cell_angle_alpha 90.00
_cell_angle_beta 90.00
_cell_angle_gamma 120.00
_space_group_name_H-M_alt 'R -3 m'
_space_group_IT_number 166
_space_group_name_Hall '-R 3 2"'
loop_
_atom_site_label
_atom_site_fract_x
_atom_site_fract_y
_atom_site_fract_z
Nd1 0.0000 0.0000 0.1645
Al1 0.0000 0.0000 0.4011
Zn1 0.0000 0.2971 0.5000
Zn2 0.0000 0.5000 0.0000
Zn3 0.0091 0.5045 0.6536
```